A relaxed structure of TlAg3Br2Cl6. Source: Alexandria, functional PBE-GGA.

abc: 14.2098 7.6050 6.0639
angles: 90.00 94.88 90.00
Closest atoms and distances in Å follow each position.
Space group C2/m (No. 12)
Unique sites:
Tl1 0.0000 0.0000 0.0000 [2 per cell]  6 Cl 2.60-2.83
Ag1 0.0000 0.5000 0.5000 [2 per cell]  2 Br 2.65, 4 Cl 2.75
Ag2 0.2500 0.2500 0.0000 [4 per cell]  2 Cl 2.53, 2 Br 2.69
Br1 0.1653 0.5000 0.7381 [4 per cell]  3 Ag 2.65-2.69
Cl1 0.0790 0.2416 0.2563 [8 per cell]  1 Tl 2.60, 1 Ag 2.75
Cl2 0.1689 0.0000 0.7854 [4 per cell]  2 Ag 2.53, 1 Tl 2.83

Properties
Its density of states at the Fermi level is 14.4 states/eV/cell. The formation energy without anion corrections comes out at -0.41 eV/atom.